An optimized crystal structure of Co2AsHO5. Source: the Alexandria database, functional PBE+U.

E_tot (eV per cell): -214.405
M_tot (μB/atom): 0.663
DOS at the Fermi energy (states/eV/atom): 0.00

a = 8.421 Å, b = 8.635 Å, c = 6.158 Å
α = 90.00°, β = 90.00°, γ = 90.00°
Space group Pnnm (No. 58)
Asymmetric unit:
Co: 0.000 0.000 0.246 (multiplicity 4)
Co: 0.136 0.371 0.000 (multiplicity 4)
As: 0.249 0.746 0.000 (multiplicity 4)
H: 0.214 0.086 0.000 (multiplicity 4)
O: 0.074 0.144 0.500 (multiplicity 4)
O: 0.102 0.607 0.000 (multiplicity 4)
O: 0.106 0.128 0.000 (multiplicity 4)
O: 0.231 0.865 0.224 (multiplicity 8)